Entry from Alexandria via LeMat-Bulk: a geometry-optimized TaCrAu2 structure (GGA-PBEsol).

## Properties
Space-group type: P4/mmm (123)
Calculated volume: 67.0 Å³ per cell
ΔE_f: 0.245 eV/atom
E_tot: -7.415 eV/atom
Excess energy over the best structure of this formula in the dataset: 143 meV/atom

```
TaCrAu2
1.0
4.790 0.000 0.000
0.000 4.790 0.000
0.000 0.000 2.920
Ta Cr Au
1 1 2
direct
0.000 0.000 0.000 Ta
0.500 0.500 0.000 Cr
0.000 0.500 0.500 Au
0.500 0.000 0.500 Au
```